A plane-wave DFT calculation with GGA+U was carried out for a geometry-optimized MnCdSnF6 structure.

Structure (extended XYZ):
```
18
Lattice="5.809 0.000 0.000 -2.904 5.031 0.000 0.000 0.000 10.005" Properties=species:S:1:pos:R:3 pbc="T T T"
F 3.791 0.081 3.644
F -0.886 4.950 6.361
F 1.826 3.323 6.361
F 0.939 1.788 8.647
F 2.018 0.081 1.358
F 1.079 1.708 3.644
F 4.730 1.708 1.358
F 3.844 3.243 3.644
F -0.939 1.788 6.361
F 0.886 4.950 8.647
F -1.826 3.323 8.647
F 1.965 3.243 1.358
Cd 0.000 3.354 2.501
Cd 2.904 1.677 7.504
Mn 2.904 1.677 2.501
Mn 0.000 3.354 7.504
Sn 0.000 0.000 0.000
Sn 0.000 0.000 5.003
```

Values from the calculation:
Density = 4.54 Mg/m³
Electronic total energy = -89.8 eV/cell
Total moment = 10.00 μB per cell